DFT (PBE) results for crystalline Ca2GeAu7 at its relaxed geometry.

* spin magnetization: 0.0 μB/cell
* formation energy: -0.417 eV per atom

a b c (Å): 4.015 4.015 13.514
angles (deg): 90.00 90.00 90.00
Element x y z (fractional)
1 Ca 0.500 0.000 0.748
2 Ca 0.000 0.500 0.252
3 Ge 0.500 0.500 0.000
4 Au 0.000 0.500 0.852
5 Au 0.500 0.000 0.348
6 Au 0.500 0.000 0.148
7 Au 0.000 0.500 0.652
8 Au 0.000 0.000 0.500
9 Au 0.000 0.000 0.000
10 Au 0.500 0.500 0.500